Computed, not measured: crystalline CoNiN2F at its relaxed geometry at the PBE with a Hubbard U level of DFT.

a = 3.645 Å, b = 3.645 Å, c = 4.094 Å
α = 90.00°, β = 90.00°, γ = 90.00°
Fractional coordinates of all 5 atoms:
Co (0.000, 0.000, 0.000)
Ni (0.500, 0.500, 0.500)
N (0.000, 0.500, 0.000)
N (0.500, 0.000, 0.000)
F (0.000, 0.000, 0.500)

Results
Size of the total moment (μB per atom): 0.99
DFT total energy (eV/atom): -4.39
Symmetry: P4/mmm (123)